Compound: Na2B3C
Source: Alexandria
Functional: GGA-PBE
Structure: relaxed

Output
* DOS at the Fermi energy: 11.2 states/eV/cell
* energy relative to the elements: 152 meV per atom
* offset from the most stable computed form: 19 meV per atom

a = 8.6017 Å, b = 2.8307 Å, c = 26.0403 Å
α = 90.00°, β = 90.00°, γ = 90.00°
Space group Amm2 (No. 38)
Asymmetric unit:
Na (0.2447, 0.0000, 0.0000) x4
Na (0.2461, 0.0000, 0.2000) x4
Na (0.2457, 0.0000, 0.5993) x4
Na (0.2491, 0.0000, 0.8015) x4
Na (0.2497, 0.0000, 0.4013) x4
B (0.0000, 0.0000, 0.0703) x2
B (0.0000, 0.0000, 0.2739) x2
B (0.0000, 0.0000, 0.4614) x2
B (0.0000, 0.0000, 0.5310) x2
B (0.0000, 0.0000, 0.6642) x2
B (0.0000, 0.0000, 0.7342) x2
B (0.0000, 0.0000, 0.8670) x2
B (0.5000, 0.0000, 0.1228) x2
B (0.5000, 0.0000, 0.2704) x2
B (0.5000, 0.0000, 0.3347) x2
B (0.5000, 0.0000, 0.5330) x2
B (0.5000, 0.0000, 0.6643) x2
B (0.5000, 0.0000, 0.7277) x2
B (0.5000, 0.0000, 0.8746) x2
B (0.5000, 0.0000, 0.9416) x2
C (0.0000, 0.0000, 0.1331) x2
C (0.0000, 0.0000, 0.3360) x2
C (0.0000, 0.0000, 0.9306) x2
C (0.5000, 0.0000, 0.0636) x2
C (0.5000, 0.0000, 0.4714) x2